# ReSb2As PBE relaxed
data_ReSb2As
_chemical_formula_sum 'Re1 Sb2 As1'
_space_group_name_H-M_alt 'P m m m'
_space_group_IT_number 47
_space_group_name_Hall '-P 2 2'
_cell_length_a 3.392
_cell_length_b 4.600
_cell_length_c 5.265
_cell_angle_alpha 90.00
_cell_angle_beta 90.00
_cell_angle_gamma 90.00
loop_
_atom_site_label
_atom_site_type_symbol
_atom_site_fract_x
_atom_site_fract_y
_atom_site_fract_z
_atom_site_occupancy
Re1 Re 0.000 0.000 0.000 1
Sb1 Sb 0.000 0.500 0.500 1
Sb2 Sb 0.500 0.500 0.000 1
As1 As 0.500 0.000 0.500 1
# crystal system = orthorhombic
# formation energy without anion corrections = 864 meV/atom
# DFT total energy = -21.9 eV/cell